Entry 1:
The following is a DFT calculation (GGA-PBE) of a relaxed structure of Ni2SN2.

Geometry as CIF:
```
data_Ni2SN2
_space_group_name_H-M_alt 'P 63/m m c'
_space_group_IT_number 194
_space_group_name_Hall '-P 6c 2c'
_cell_length_a 3.3089
_cell_length_b 3.3089
_cell_length_c 11.1787
_cell_angle_alpha 90.00
_cell_angle_beta 90.00
_cell_angle_gamma 120.00
loop_
_atom_site_label
_atom_site_type_symbol
_atom_site_fract_x
_atom_site_fract_y
_atom_site_fract_z
Ni1 Ni 0.3333 0.6667 0.1115
S1 S 0.0000 0.0000 0.2500
N1 N 0.3333 0.6667 0.5648
```

electronic total energy = -5.65 eV/atom
mass density = 5.6 g cm⁻³
spin magnetization = 0.01 μB/f.u.

Entry 2:
The following is a DFT calculation (GGA-PBE) of a relaxed structure of NiSbW4N2.

Geometry as CIF:
```
data_NiSbW4N2
_space_group_name_H-M_alt 'P -6 m 2'
_space_group_IT_number 187
_space_group_name_Hall 'P -6 2'
_cell_length_a 2.8765
_cell_length_b 2.8765
_cell_length_c 15.1828
_cell_angle_alpha 90.00
_cell_angle_beta 90.00
_cell_angle_gamma 120.00
loop_
_atom_site_label
_atom_site_type_symbol
_atom_site_fract_x
_atom_site_fract_y
_atom_site_fract_z
Ni1 Ni 0.0000 0.0000 0.0000
Sb1 Sb 0.6667 0.3333 0.5000
W1 W 0.0000 0.0000 0.3260
W2 W 0.6667 0.3333 0.1391
N1 N 0.3333 0.6667 0.2348
```

electronic total energy = -9.38 eV/atom
mass density = 14.4 g cm⁻³
spin magnetization = 0.00 μB/f.u.

Entry 3:
The following is a DFT calculation (GGA-PBE) of a relaxed structure of Sc2NiN.

Geometry as CIF:
```
data_Sc2NiN
_space_group_name_H-M_alt 'C 1 2/c 1'
_space_group_IT_number 15
_cell_length_a 9.455
_cell_length_b 5.451
_cell_length_c 13.550
_cell_angle_alpha 90.00
_cell_angle_beta 103.58
_cell_angle_gamma 90.00
loop_
_space_group_symop_operation_xyz
'x,y,z'
'-x,-y,-z'
'-x,y,-z+1/2'
'x,-y,z+1/2'
'x+1/2,y+1/2,z'
'-x+1/2,-y+1/2,-z'
'-x+1/2,y+1/2,-z+1/2'
'x+1/2,-y+1/2,z+1/2'
loop_
_atom_site_label
_atom_site_type_symbol
_atom_site_fract_x
_atom_site_fract_y
_atom_site_fract_z
Sc1 Sc 0.047 0.083 0.392
Sc2 Sc 0.114 0.415 0.592
Sc3 Sc 0.220 0.417 0.908
Ni1 Ni 0.000 0.420 0.750
Ni2 Ni 0.245 0.161 0.750
N1 N 0.081 0.243 0.000
N2 N 0.250 0.250 0.500
```

electronic total energy = -7.65 eV/atom
mass density = 4.8 g cm⁻³
spin magnetization = 0.01 μB/f.u.

Entry 4:
The following is a DFT calculation (GGA-PBE) of a relaxed structure of Sc4NiN3.

Geometry as CIF:
```
data_Sc4NiN3
_space_group_name_H-M_alt 'P 63/m m c'
_space_group_IT_number 194
_space_group_name_Hall '-P 6c 2c'
_cell_length_a 3.1918
_cell_length_b 3.1918
_cell_length_c 23.0425
_cell_angle_alpha 90.00
_cell_angle_beta 90.00
_cell_angle_gamma 120.00
loop_
_atom_site_label
_atom_site_type_symbol
_atom_site_fract_x
_atom_site_fract_y
_atom_site_fract_z
Sc1 Sc 0.0000 0.0000 0.1656
Sc2 Sc 0.3333 0.6667 0.0549
Ni1 Ni 0.3333 0.6667 0.2500
N1 N 0.0000 0.0000 0.0000
N2 N 0.3333 0.6667 0.6144
```

electronic total energy = -8.44 eV/atom
mass density = 4.6 g cm⁻³
spin magnetization = 0.50 μB/f.u.